Material: Mn2ZnFeO4
Method: DFT, GGA+U
State: optimized geometry

The calculated density is 5.597 Mg/m³. The density of states at the Fermi level comes out at 0.0218 states/eV per atom. As for the total energy: -6.676 eV/atom.

It has space group P-1 (No. 2), with a = 6.2586 Å, b = 6.2588 Å, c = 6.2712 Å, α = 119.76°, β = 119.67° and γ = 90.03°. The inequivalent atoms are Mn at (0.0000, 0.0000, 0.0000), Mn at (0.0000, 0.0000, 0.5000), Mn at (0.0000, 0.5000, 0.0000), Mn at (0.5000, 0.0000, 0.5000), Zn at (0.0000, 0.5000, 0.5000), Zn at (0.5000, 0.5000, 0.0000), Fe at (0.5000, 0.0000, 0.0000), Fe at (0.5000, 0.5000, 0.5000), O at (0.2438, 0.7476, 0.4977), O at (0.2486, 0.7425, 0.9939), O at (0.2591, 0.2426, 0.9972) and O at (0.2588, 0.2618, 0.5036).